Computed, not measured: a relaxed FeCoAu2 crystal at the PBEsol level of DFT.

a b c (Å): 3.813 3.841 3.841
angles (deg): 90.00 90.00 90.00
Fractional positions:
Au: 0.000 0.000 0.500
Au: 0.000 0.500 0.000
Co: 0.500 0.500 0.500
Fe: 0.500 0.000 0.000

Output
Formation enthalpy at 0 K in eV/atom: 0.206
M_tot in μB/f.u.: 4.68